No. 1
DFT (GGA-PBE) results for a relaxed structure of LaPrMgTc.

Lattice parameters (Å, degrees): 5.247 5.247 5.247 60.00 60.00 60.00
Element x y z (fractional)
Pr (0.500, 0.500, 0.500)
Mg (0.250, 0.250, 0.250)
Tc (0.750, 0.750, 0.750)
La (0.000, 0.000, 0.000)

Output
Space-group type: F-43m
Energy relative to the elements, eV per formula unit: 0.500


No. 2
DFT (GGA-PBE) results for a relaxed structure of La3Pr3MgTe8.

Lattice parameters (Å, degrees): 9.062 9.060 9.082 119.92 90.00 119.99
Element x y z (fractional)
La (0.000, 0.000, 0.000)
La (0.000, 0.500, 0.000)
La (0.500, 0.500, 0.000)
Pr (0.500, 0.000, 0.500)
Pr (0.500, 0.500, 0.500)
Pr (0.000, 0.500, 0.500)
Mg (0.000, 0.000, 0.500)
Te (0.251, 0.501, 0.252)
Te (0.749, 0.499, 0.748)
Te (0.760, 0.520, 0.262)
Te (0.240, 0.480, 0.738)
Te (0.760, 0.001, 0.262)
Te (0.240, 0.999, 0.738)
Te (0.241, 0.001, 0.262)
Te (0.759, 0.999, 0.738)

Output
Space-group type: R-3m
Formation energy without anion corrections, meV per atom: -1432